Entry 1:
Entry from Alexandria: crystalline Zr2SiCl at its relaxed geometry (PBE).

Output
The calculation puts the polymorph energy (0 for the lowest one) at 0.994 eV/atom. The formation energy (no corrections) comes out at 1.08 eV per formula unit.

a b c (Å): 4.8417 4.8417 4.8417
angles (deg): 60.00 60.00 60.00
Sites, in units of the cell vectors:
Zr  0.0000  0.0000  0.0000
Zr  0.2500  0.2500  0.2500
Si  0.7500  0.7500  0.7500
Cl  0.5000  0.5000  0.5000



Entry 2:
Entry from Alexandria: crystalline ZrSiCl2 at its relaxed geometry (PBE).

Output
The calculation puts the polymorph energy (0 for the lowest one) at 0.000 eV/atom. The formation energy (no corrections) comes out at -3.45 eV per formula unit.

a b c (Å): 3.9738 3.6931 7.3422
angles (deg): 90.00 97.13 90.00
Sites, in units of the cell vectors:
Zr  0.0000  0.0000  0.0000
Si  0.5183  0.5000  0.0392
Cl  0.1611  0.0000  0.3275
Cl  0.7505  0.5000  0.7419



Entry 3:
Entry from Alexandria: crystalline ZrSiCl2 at its relaxed geometry (PBE).

Output
The calculation puts the polymorph energy (0 for the lowest one) at 0.037 eV/atom. The formation energy (no corrections) comes out at -3.30 eV per formula unit.

a b c (Å): 3.7755 3.7755 8.3632
angles (deg): 90.00 90.00 90.00
Sites, in units of the cell vectors:
Zr  0.0000  0.0000  0.0000
Si  0.5000  0.5000  0.0836
Cl  0.0000  0.0000  0.7234
Cl  0.5000  0.5000  0.3381



Entry 4:
Entry from Alexandria: crystalline ZrSi2Cl at its relaxed geometry (PBE).

Output
The calculation puts the polymorph energy (0 for the lowest one) at 0.037 eV/atom. The formation energy (no corrections) comes out at -1.48 eV per formula unit.

a b c (Å): 4.7437 4.7437 6.2604
angles (deg): 124.22 124.22 44.50
Sites, in units of the cell vectors:
Zr  0.0000  0.0000  0.0000
Si  0.3333  0.3333  0.5664
Si  0.6178  0.6178  0.4628
Cl  0.7463  0.7463  0.0727



Entry 5:
Entry from Alexandria: crystalline ZrSiCl2 at its relaxed geometry (PBE).

Output
The calculation puts the polymorph energy (0 for the lowest one) at 0.453 eV/atom. The formation energy (no corrections) comes out at -1.63 eV per formula unit.

a b c (Å): 6.7114 6.7114 6.7114
angles (deg): 152.83 137.84 50.88
Sites, in units of the cell vectors:
Zr  0.0000  0.0000  0.0000
Si  0.8109  0.3109  0.5000
Cl  0.1694  0.6694  0.5000
Cl  0.4745  0.4745  0.0000



Entry 6:
Entry from Alexandria: crystalline Zr2SiCl at its relaxed geometry (PBE).

Output
The calculation puts the polymorph energy (0 for the lowest one) at 0.348 eV/atom. The formation energy (no corrections) comes out at -1.50 eV per formula unit.

a b c (Å): 3.1029 3.1029 9.2522
angles (deg): 90.00 90.00 90.00
Sites, in units of the cell vectors:
Zr  0.0000  0.0000  0.0000
Zr  0.5000  0.5000  0.2800
Si  0.5000  0.5000  0.8048
Cl  0.0000  0.0000  0.4492



Entry 7:
Entry from Alexandria: crystalline Zr3SiCl at its relaxed geometry (PBE).

Output
The calculation puts the polymorph energy (0 for the lowest one) at 0.000 eV/atom. The formation energy (no corrections) comes out at 0.45 eV per formula unit.

a b c (Å): 4.7321 4.7321 4.7321
angles (deg): 90.00 90.00 90.00
Sites, in units of the cell vectors:
Zr  0.0000  0.0000  0.5000
Zr  0.0000  0.5000  0.0000
Zr  0.5000  0.0000  0.0000
Si  0.5000  0.5000  0.5000
Cl  0.0000  0.0000  0.0000



Entry 8:
Entry from Alexandria: crystalline ZrSiCl2 at its relaxed geometry (PBE).

Output
The calculation puts the polymorph energy (0 for the lowest one) at 0.480 eV/atom. The formation energy (no corrections) comes out at -1.53 eV per formula unit.

a b c (Å): 6.9545 6.9545 6.9545
angles (deg): 98.43 98.43 134.96
Sites, in units of the cell vectors:
Zr  0.0000  0.0000  0.0000
Zr  0.7500  0.2500  0.5000
Si  0.2500  0.7500  0.5000
Si  0.5000  0.5000  0.0000
Cl  0.3750  0.2365  0.3615
Cl  0.7635  0.1250  0.1385
Cl  0.8750  0.0135  0.6385
Cl  0.9865  0.6250  0.8615



Entry 9:
Entry from Alexandria: crystalline Zr2SiCl at its relaxed geometry (PBE).

Output
The calculation puts the polymorph energy (0 for the lowest one) at 0.143 eV/atom. The formation energy (no corrections) comes out at -2.32 eV per formula unit.

a b c (Å): 3.1641 3.3824 7.0290
angles (deg): 90.00 90.00 90.00
Sites, in units of the cell vectors:
Zr  0.0000  0.0000  0.2231
Zr  0.0000  0.0000  0.7769
Si  0.5000  0.5000  0.0000
Cl  0.5000  0.5000  0.5000



Entry 10:
Entry from Alexandria: crystalline ZrSiCl2 at its relaxed geometry (PBE).

Output
The calculation puts the polymorph energy (0 for the lowest one) at 0.230 eV/atom. The formation energy (no corrections) comes out at -2.53 eV per formula unit.

a b c (Å): 11.2509 11.2509 11.2509
angles (deg): 16.33 16.33 16.33
Sites, in units of the cell vectors:
Zr  0.0000  0.0000  0.0000
Si  0.5000  0.5000  0.5000
Cl  0.2776  0.2776  0.2776
Cl  0.7224  0.7224  0.7224



Entry 11:
Entry from Alexandria: crystalline ZrSiCl2 at its relaxed geometry (PBE).

Output
The calculation puts the polymorph energy (0 for the lowest one) at 0.169 eV/atom. The formation energy (no corrections) comes out at -2.77 eV per formula unit.

a b c (Å): 7.8467 7.8467 7.8467
angles (deg): 157.28 142.95 43.90
Sites, in units of the cell vectors:
Zr  0.0000  0.0000  0.0000
Si  0.5000  0.5000  0.0000
Cl  0.1444  0.6444  0.5000
Cl  0.8556  0.3556  0.5000



Entry 12:
Entry from Alexandria: crystalline ZrSi2Cl at its relaxed geometry (PBE).

Output
The calculation puts the polymorph energy (0 for the lowest one) at 0.353 eV/atom. The formation energy (no corrections) comes out at -0.22 eV per formula unit.

a b c (Å): 5.0533 5.0533 3.0239
angles (deg): 90.00 90.00 113.16
Sites, in units of the cell vectors:
Zr  0.0000  0.0000  0.0000
Si  0.0000  0.5000  0.5000
Si  0.5000  0.0000  0.5000
Cl  0.5000  0.5000  0.0000